Entry 1:
Compound: Sm2Mg2Pb3
Source: the Alexandria database
Functional: GGA-PBE
Structure: relaxed

The excess energy over the best structure of this formula in the dataset comes out at 0.0 meV/atom. As for the formation enthalpy at 0 K: -345 meV per atom.

The space group is C2/m (No. 12) and the conventional cell measures 16.684, 4.783 and 12.761 Å, with angles of 90.00, 126.92 and 90.00 degrees. Symmetry generates all atoms from Sm at (0.074, 0.000, 0.425), Sm at (0.235, 0.000, 0.830), Mg at (0.050, 0.500, 0.818), Mg at (0.096, 0.000, 0.173), Pb at (0.106, 0.500, 0.630), Pb at (0.131, 0.000, 0.974) and Pb at (0.179, 0.500, 0.356).

---

Entry 2:
Compound: ScAlTc2
Source: the Alexandria database
Functional: GGA-PBE
Structure: relaxed

The excess energy over the best structure of this formula in the dataset comes out at 149.3 meV/atom. As for the formation enthalpy at 0 K: -158 meV per atom.

The space group is C2/m (No. 12) and the conventional cell measures 5.627, 8.647 and 2.784 Å, with angles of 90.00, 111.53 and 90.00 degrees. Symmetry generates all atoms from Sc at (0.000, 0.000, 0.000), Al at (0.000, 0.500, 0.000) and Tc at (0.250, 0.250, 0.500).

---

Entry 3:
Compound: Ca2Br
Source: the Alexandria database
Functional: GGA-PBE
Structure: relaxed

The excess energy over the best structure of this formula in the dataset comes out at 30.3 meV/atom. As for the uncorrected formation energy: -0.8653 eV per atom.

The space group is C2/m (No. 12) and the conventional cell measures 14.842, 3.911 and 10.381 Å, with angles of 90.00, 133.86 and 90.00 degrees. Symmetry generates all atoms from Ca at (0.048, 0.000, 0.224), Ca at (0.246, 0.500, 0.152) and Br at (0.158, 0.500, 0.539).

---

Entry 4:
Compound: Tb2Sm12Ho5
Source: the Alexandria database
Functional: GGA-PBE
Structure: relaxed

The excess energy over the best structure of this formula in the dataset comes out at 9.0 meV/atom. As for the formation enthalpy at 0 K: 133 meV per atom.

The space group is C2/m (No. 12) and the conventional cell measures 15.624, 10.277 and 7.948 Å, with angles of 90.00, 91.69 and 90.00 degrees. Symmetry generates all atoms from Tb at (0.000, 0.247, 0.000), Sm at (0.052, 0.500, 0.710), Sm at (0.106, 0.274, 0.389), Sm at (0.149, 0.000, 0.118), Sm at (0.192, 0.232, 0.795), Ho at (0.000, 0.000, 0.500), Ho at (0.150, 0.500, 0.086) and Ho at (0.245, 0.000, 0.489).

---

Entry 5:
Compound: Er3HgCCl
Source: the Alexandria database
Functional: GGA-PBE
Structure: relaxed

As for the uncorrected formation energy: -0.6775 eV per atom.

The space group is P2_1/m (No. 11) and the conventional cell measures 8.745, 3.639 and 8.806 Å, with angles of 90.00, 93.69 and 90.00 degrees. Symmetry generates all atoms from Er at (0.083, 0.250, 0.350), Er at (0.354, 0.750, 0.558), Er at (0.383, 0.750, 0.178), Hg at (0.274, 0.250, 0.834), C at (0.363, 0.250, 0.361) and Cl at (0.085, 0.750, 0.124).

---

Entry 6:
Compound: Na2PaTeO8
Source: the Alexandria database
Functional: GGA-PBE
Structure: relaxed

As for the uncorrected formation energy: -1.5538 eV per atom.

The space group is P2/m (No. 10) and the conventional cell measures 5.078, 6.832 and 5.245 Å, with angles of 90.00, 92.62 and 90.00 degrees. Symmetry generates all atoms from Na at (0.000, 0.238, 0.000), Pa at (0.500, 0.500, 0.500), Te at (0.500, 0.000, 0.500), O at (0.223, 0.500, 0.236), O at (0.227, 0.000, 0.242) and O at (0.326, 0.214, 0.678).

---

Number 1: energy -0.1374 Ha/atom. Number 2: energy -0.2888 Ha/atom. Number 3: energy -0.1013 Ha/atom. Number 4: energy -0.1668 Ha/atom. Number 5: energy -0.1784 Ha/atom. Number 6: energy -0.2254 Ha/atom.